# 1
Material: HgN3O
Method: DFT, PBE
State: optimized geometry

V ... 10.28 A^3/atom
Final energy ... -3.255 eV/atom
Uncorrected formation energy ... 2.79 eV/atom
Fermi-level density of states ... 2.43 states/eV per cell

```
HgN3O
1.0
3.718 0.000 0.000
0.000 3.718 0.000
0.000 0.000 3.718
Hg N O
1 3 1
Cartesian
0.000 0.000 0.000 Hg
0.000 1.859 1.859 N
1.859 0.000 1.859 N
1.859 1.859 0.000 N
1.859 1.859 1.859 O
```


# 2
Material: Pr2SmHo6Tm3
Method: DFT, PBE
State: optimized geometry

V ... 31.75 A^3/atom
ΔH_f (0 K) ... 23 meV per atom
Final energy ... -4.573 eV/atom
Fermi-level density of states ... 16.45 states/eV per cell

```
Pr2SmHo6Tm3
1.0
3.083 -5.336 0.000
3.083 5.336 0.000
-2.053 0.000 11.581
Pr Sm Ho Tm
2 1 6 3
Cartesian
3.083 3.557 0.000 Pr
3.083 -3.557 0.000 Pr
3.083 0.000 0.000 Sm
-0.001 1.776 8.624 Ho
1.035 0.000 2.957 Ho
-0.001 -1.776 8.624 Ho
4.114 1.776 2.957 Ho
3.078 0.000 8.624 Ho
4.114 -1.776 2.957 Ho
-1.026 0.000 5.791 Tm
2.056 1.777 5.791 Tm
2.056 -1.777 5.791 Tm
```


# 3
Material: Th2AlSiIr6
Method: DFT, PBE
State: optimized geometry

V ... 19.26 A^3/atom
Final energy ... -8.280 eV/atom
Uncorrected formation energy ... -0.56 eV/atom
Fermi-level density of states ... 6.86 states/eV per cell

```
Th2AlSiIr6
1.0
5.925 0.000 0.000
-2.393 5.511 0.000
-0.663 -3.197 5.899
Th Al Si Ir
2 1 1 6
Cartesian
1.005 -0.177 1.567 Th
1.864 2.492 4.332 Th
-1.528 1.157 2.949 Al
1.766 2.756 0.000 Si
-1.057 0.460 5.365 Ir
-1.144 3.034 4.556 Ir
0.131 2.689 1.963 Ir
2.738 -0.374 3.936 Ir
4.013 -0.720 1.343 Ir
3.926 1.854 0.534 Ir
```


# 4
Material: Ba5Sr2
Method: DFT, PBE
State: optimized geometry

V ... 60.29 A^3/atom
ΔH_f (0 K) ... 1 meV per atom
Final energy ... -1.853 eV/atom
Fermi-level density of states ... 9.19 states/eV per cell
Energy above the most stable polymorph in this dataset ... 0 meV per atom

```
Ba5Sr2
1.0
3.496 2.018 9.971
-3.496 2.018 9.971
0.000 -4.036 9.971
Ba Sr
5 2
Cartesian
0.000 0.000 0.000 Ba
0.000 0.000 8.538 Ba
0.000 0.000 12.848 Ba
0.000 0.000 17.065 Ba
0.000 0.000 21.376 Ba
0.000 0.000 4.302 Sr
0.000 0.000 25.612 Sr
```


# 5
Material: Ba2SbAs
Method: DFT, PBE
State: optimized geometry

V ... 37.75 A^3/atom
Final energy ... -4.103 eV/atom
Uncorrected formation energy ... -0.95 eV/atom
Fermi-level density of states ... 0.43 states/eV per cell
Energy above the most stable polymorph in this dataset ... 3 meV per atom

```
Ba2SbAs
1.0
6.148 -2.398 0.000
6.148 2.398 0.000
-0.841 0.000 5.121
Ba Sb As
2 1 1
Cartesian
0.000 0.000 0.000 Ba
8.694 0.000 2.694 Ba
5.221 0.000 2.334 Sb
3.299 0.000 0.412 As
```


# 6
Material: ZrMoH
Method: DFT, PBE
State: optimized geometry

V ... 13.21 A^3/atom
Final energy ... -7.806 eV/atom
Fermi-level density of states ... 3.66 states/eV per cell

```
ZrMoH
1.0
3.265 0.000 0.000
0.000 3.265 0.000
0.000 0.000 7.434
Zr Mo H
2 2 2
Cartesian
0.816 0.816 1.125 Zr
2.449 2.449 6.309 Zr
0.816 0.816 4.427 Mo
2.449 2.449 3.007 Mo
0.816 0.816 6.397 H
2.449 2.449 1.037 H
```


# 7
Material: Gd3NiPb
Method: DFT, PBE
State: optimized geometry

V ... 29.00 A^3/atom
ΔH_f (0 K) ... -316 meV per atom
Final energy ... -10.663 eV/atom
Fermi-level density of states ... 5.09 states/eV per cell

```
Gd3NiPb
1.0
5.253 0.000 0.000
0.000 5.253 0.000
0.000 0.000 5.253
Gd Ni Pb
3 1 1
Cartesian
0.000 0.000 2.627 Gd
0.000 2.627 0.000 Gd
2.627 0.000 0.000 Gd
0.000 0.000 0.000 Ni
2.627 2.627 2.627 Pb
```


# 8
Material: Pm3GaNi8
Method: DFT, PBE
State: optimized geometry

V ... 15.30 A^3/atom
ΔH_f (0 K) ... -354 meV per atom
Final energy ... -5.648 eV/atom
Fermi-level density of states ... 9.75 states/eV per cell

```
Pm3GaNi8
1.0
2.534 1.463 8.249
-2.534 1.463 8.249
0.000 -2.926 8.249
Pm Ga Ni
3 1 8
Cartesian
0.000 0.000 0.000 Pm
0.000 0.000 3.196 Pm
0.000 0.000 15.174 Pm
0.000 0.000 12.080 Ga
0.000 -1.476 5.603 Ni
-1.278 0.738 5.603 Ni
-1.260 -0.727 9.801 Ni
0.000 0.000 7.705 Ni
1.260 -0.727 9.801 Ni
0.000 1.455 9.801 Ni
1.278 0.738 5.603 Ni
0.000 0.000 20.089 Ni
```


> The highest Fermi-level density of states belongs to which entry?

Pr2SmHo6Tm3